(1)
SrMnIr3 | GGA-PBE | optimized geometry

Summary:
Energy above the most stable polymorph in this dataset ... 0.000 eV per atom
Energy ... -34.42 eV/cell
Formation energy ... 0.60 eV per atom

Unit cell a=4.6017 b=4.6017 c=4.6017 alpha=90.00 beta=90.00 gamma=90.00
Fractional coordinates of all 5 atoms:
Sr: 0.0000 0.0000 0.0000
Mn: 0.5000 0.5000 0.5000
Ir: 0.0000 0.5000 0.5000
Ir: 0.5000 0.0000 0.5000
Ir: 0.5000 0.5000 0.0000


(2)
SrMnIr | GGA-PBE | optimized geometry

Summary:
Energy above the most stable polymorph in this dataset ... 0.983 eV per atom
Energy ... -67.86 eV/cell
Formation energy ... 0.92 eV per atom

Unit cell a=6.2519 b=6.2519 c=6.2519 alpha=90.00 beta=90.00 gamma=90.00
Fractional coordinates of all 12 atoms:
Sr: 0.0000 0.0000 0.0000
Sr: 0.0000 0.5000 0.5000
Sr: 0.5000 0.0000 0.5000
Sr: 0.5000 0.5000 0.0000
Mn: 0.2500 0.2500 0.7500
Mn: 0.2500 0.7500 0.2500
Mn: 0.7500 0.2500 0.2500
Mn: 0.7500 0.7500 0.7500
Ir: 0.0000 0.0000 0.5000
Ir: 0.0000 0.5000 0.0000
Ir: 0.5000 0.0000 0.0000
Ir: 0.5000 0.5000 0.5000


It is found that the volume values, taken in the order of the records, are 19.49, 20.36 Å³/atom.
It is found that the DOS at the Fermi energy values, taken in the order of the records, are 4.457, 35.786 states/eV/cell.
It is found that the M_tot values, taken in the order of the records, are 0.0, 0.0 μB/f.u..